# 1
This record from Alexandria describes Sr4TaCl after structural relaxation. The functional is GGA-PBEsol.

## Properties
DFT total energy: -2.735 eV/atom
SG: F-43m
ΔE_f (raw): 5.51 eV per formula unit

Unit cell a=6.9364 b=6.9364 c=6.9364 alpha=60.00 beta=60.00 gamma=60.00
Closest atoms and distances in Å follow each position.
Fractional coordinates of all 6 atoms:
Sr: 0.3761 0.8717 0.3761  6 Sr 3.44-3.50
Sr: 0.3761 0.3761 0.8717  6 Sr 3.44-3.50
Sr: 0.3761 0.3761 0.3761  6 Sr 3.44-3.50
Sr: 0.8717 0.3761 0.3761  6 Sr 3.44-3.50
Ta: 0.7500 0.7500 0.7500  12 Sr 4.06, 4 Cl 4.25
Cl: 0.0000 0.0000 0.0000  12 Sr 4.07, 4 Ta 4.25

---

# 2
This record from Alexandria describes SrTaCl2 after structural relaxation. The functional is GGA-PBEsol.

## Properties
DFT total energy: -4.861 eV/atom
SG: C2/m
ΔE_f (raw): -1.04 eV per formula unit

Unit cell a=3.2133 b=5.5381 c=5.5381 alpha=106.48 beta=104.62 gamma=104.62
Closest atoms and distances in Å follow each position.
Fractional coordinates of all 4 atoms:
Cl: 0.0000 0.0000 0.5000  2 Ta 2.77, 2 Sr 2.77
Cl: 0.0000 0.5000 0.0000  2 Sr 2.77, 2 Ta 2.77
Sr: 0.0000 0.0000 0.0000  4 Cl 2.77
Ta: 0.0000 0.5000 0.5000  4 Cl 2.77

---

# 3
This record from Alexandria describes SrTaTcCl2 after structural relaxation. The functional is GGA-PBEsol.

## Properties
DFT total energy: -4.606 eV/atom
SG: P4/mmm
ΔE_f (raw): 6.64 eV per formula unit

Unit cell a=5.0919 b=5.0919 c=6.9291 alpha=90.00 beta=90.00 gamma=90.00
Closest atoms and distances in Å follow each position.
Fractional coordinates of all 5 atoms:
Ta: 0.0000 0.0000 0.5000  2 Sr 3.46, 4 Tc 3.60
Tc: 0.5000 0.5000 0.5000  4 Ta 3.60
Cl: 0.0000 0.5000 0.0000  2 Sr 2.55
Cl: 0.5000 0.0000 0.0000  2 Sr 2.55
Sr: 0.0000 0.0000 0.0000  4 Cl 2.55